Here is a geometry-optimized KRb2W2 structure from Alexandria. Energies are from GGA-PBE.

Cell lengths 5.8223, 5.8223, 8.2701 Å; angles 69.39, 69.39, 90.00 degrees
Last column: nearest neighbours and their distance in Å.
Fractional coordinates of all 5 atoms:
K1 0.0000 0.0000 0.0000  8 W 4.25, 8 Rb 4.62
Rb1 0.7500 0.2500 0.5000  4 W 3.87, 4 Rb 4.12
Rb2 0.2500 0.7500 0.5000  4 W 3.87, 4 Rb 4.12
W1 0.4273 0.4273 0.1453  1 W 2.08
W2 0.5727 0.5727 0.8547  1 W 2.08

Computed properties:
size of the total moment: 0.0 μB per cell
E_tot: -4.0471 eV per atom
symmetry: I4/mmm, No. 139
E_form: 1740.7 meV per atom

=====

Here is a geometry-optimized NiTe2As structure from Alexandria. Energies are from GGA-PBE.

Cell lengths 6.1626, 6.1626, 7.3876 Å; angles 65.35, 65.35, 90.00 degrees
Last column: nearest neighbours and their distance in Å.
Fractional coordinates of all 8 atoms:
Ni1 0.5000 0.5000 0.0000  4 Te 2.47
Ni2 0.2500 0.7500 0.5000  4 Te 2.47
As1 0.0000 0.0000 0.0000  4 Te 2.84
As2 0.7500 0.2500 0.5000  4 Te 2.84
Te1 0.5729 0.1250 0.2500  2 Ni 2.47
Te2 0.1771 0.6250 0.2500  2 Ni 2.47
Te3 0.3750 0.4271 0.7500  2 Ni 2.47
Te4 0.8750 0.8229 0.7500  2 Ni 2.47

Computed properties:
size of the total moment: 0.0 μB per cell
E_tot: -4.0994 eV per atom
symmetry: I-42d, No. 122
formation energy (no corrections): 0.3 eV/f.u.

=====

Here is a geometry-optimized BaAgMo structure from Alexandria. Energies are from GGA-PBE.

Cell lengths 6.5200, 6.5200, 6.5200 Å; angles 152.61, 142.88, 46.74 degrees
Last column: nearest neighbours and their distance in Å.
Fractional coordinates of all 3 atoms:
Ag1 0.9592 0.9592 0.0000  4 Mo 2.77, 2 Ag 3.09
Ba1 0.6649 0.6649 0.0000  2 Ba 3.09
Mo1 0.3759 0.3759 0.0000  4 Ag 2.77, 2 Mo 3.09

Computed properties:
size of the total moment: 0.0 μB per cell
E_tot: -4.2804 eV per atom
symmetry: Imm2, No. 44
E_form: 921.3 meV per atom